This record from the Alexandria database describes a relaxed CsGaPb2 crystal. The functional is PBE.

Values from the calculation:
DOS(E_F) ... 0.417 states/eV per atom
Energy of formation ... -0.03 eV/atom

```
8
Lattice="3.6486 0.0000 0.0000 0.0062 7.4032 0.0000 1.8201 1.6877 10.6360" Properties=species:S:1:pos:R:3 pbc="T T T"
Cs 0.9086 0.9426 2.4003
Cs 4.5663 8.1483 8.2358
Ga 2.7332 4.6283 7.6110
Ga 2.7416 4.4626 3.0250
Pb 0.9159 4.8848 0.7280
Pb 2.7323 2.8243 5.3662
Pb 2.7426 6.2666 5.2698
Pb 4.5590 4.2061 9.9080
```